## Rb2ZnTe2 (PBE)

Data for a geometry-optimized Rb2ZnTe2 structure.

N(E_F): 0.00 states/eV/cell
Formation energy without anion corrections: -756 meV/atom

```
data_Rb2ZnTe2
_chemical_formula_sum 'Rb4 Zn2 Te4'
_cell_length_a 7.1383
_cell_length_b 7.1383
_cell_length_c 13.7119
_cell_angle_alpha 90.00
_cell_angle_beta 90.00
_cell_angle_gamma 90.00
_symmetry_space_group_name_H-M 'P 1'
_symmetry_Int_Tables_number 1
_symmetry_space_group_name_Hall 'P 1'
loop_
_atom_site_label
_atom_site_fract_x
_atom_site_fract_y
_atom_site_fract_z
_atom_site_occupancy
Rb1 0.0000 0.5000 0.2500 1
Rb2 0.0000 0.5000 0.7500 1
Rb3 0.5000 0.0000 0.2500 1
Rb4 0.5000 0.0000 0.7500 1
Zn1 0.0000 0.0000 0.0000 1
Zn2 0.5000 0.5000 0.5000 1
Te1 0.0000 0.0000 0.1788 1
Te2 0.0000 0.0000 0.8212 1
Te3 0.5000 0.5000 0.3212 1
Te4 0.5000 0.5000 0.6788 1
```